! SCAN CuAsOs3, PBEsol geometry; values from VASP
&SYSTEM
  ibrav = 0, nat = 5, ntyp = 3
/
ATOMIC_SPECIES
As 74.92 As.upf
Os 190.23 Os.upf
Cu 63.55 Cu.upf
CELL_PARAMETERS angstrom
-0.058 -2.761 3.434
4.406 -0.072 0.016
0.047 3.434 2.762
ATOMIC_POSITIONS angstrom
As 2.198 0.300 3.106
Os 2.203 -0.036 0.008
Os 0.023 1.717 1.381
Os -0.029 -1.381 1.717
Cu 0.000 0.000 0.000
! N(E_F) = 6.02 states/eV/cell
! Formation energy = 2.30 eV/atom

=====

! SCAN CuAsOs2, PBEsol geometry; values from VASP
&SYSTEM
  ibrav = 0, nat = 4, ntyp = 3
/
ATOMIC_SPECIES
As 74.92 As.upf
Cu 63.55 Cu.upf
Os 190.23 Os.upf
CELL_PARAMETERS angstrom
2.672 0.000 0.000
-1.260 2.356 0.000
0.000 0.000 9.090
ATOMIC_POSITIONS angstrom
As 0.706 1.178 4.545
Cu 0.706 1.178 0.000
Os 0.000 0.000 2.158
Os 0.000 0.000 6.932
! N(E_F) = 4.20 states/eV/cell
! Formation energy = 0.75 eV/atom

=====

! SCAN CuAs2Os, PBEsol geometry; values from VASP
&SYSTEM
  ibrav = 0, nat = 4, ntyp = 3
/
ATOMIC_SPECIES
As 74.92 As.upf
Cu 63.55 Cu.upf
Os 190.23 Os.upf
CELL_PARAMETERS angstrom
4.205 0.000 0.000
-2.102 3.867 0.026
0.000 2.262 3.544
ATOMIC_POSITIONS angstrom
As 0.000 2.499 0.899
As 2.102 3.630 2.671
Cu 0.000 0.000 0.000
Os 2.102 1.131 1.772
! N(E_F) = 1.65 states/eV/cell
! Formation energy = 0.31 eV/atom

=====

! SCAN CuAs2OsSe, PBEsol geometry; values from VASP
&SYSTEM
  ibrav = 0, nat = 5, ntyp = 4
/
ATOMIC_SPECIES
As 74.92 As.upf
Os 190.23 Os.upf
Cu 63.55 Cu.upf
Se 78.96 Se.upf
CELL_PARAMETERS angstrom
4.582 0.000 0.000
0.000 4.582 0.000
0.000 0.000 5.375
ATOMIC_POSITIONS angstrom
As 0.000 2.291 0.000
As 2.291 0.000 0.000
Os 0.000 0.000 0.000
Cu 2.291 2.291 2.687
Se 0.000 0.000 2.687
! N(E_F) = 4.32 states/eV/cell
! Energy relative to the elements, uncorrected = 916 meV/atom

=====

- Look up the N(E_F) of the first one.
  6.02 states/eV/cell